Entry 1:
Entry from Alexandria: a relaxed PmSmTlSn crystal (PBE).

abc: 4.661 4.410 6.307
angles: 90.00 111.69 90.00
Positions (direct):
Pm  0.865  0.500  0.730
Sm  0.137  0.000  0.273
Tl  0.410  0.000  0.820
Sn  0.588  0.500  0.177

Summary:
DOS at the Fermi energy (states/eV per cell): 3.9
Calculated total energy (eV for the cell shown): -18.15
Formation energy from the elements (eV per atom): -0.577
Symmetry: Amm2
V (Å³/cell): 120.47
Energy above the lowest structure with this stoichiometry (kJ/mol of atoms): 0.0

---

Entry 2:
Entry from Alexandria: a relaxed Ac6Tl2Te3Pb crystal (PBE).

abc: 4.824 9.560 11.142
angles: 112.60 102.50 90.00
Positions (direct):
Ac  0.332  0.860  0.665
Ac  0.662  0.642  0.323
Ac  0.668  0.140  0.335
Ac  0.009  0.252  0.018
Ac  0.991  0.748  0.982
Ac  0.338  0.358  0.677
Tl  0.806  0.578  0.613
Tl  0.194  0.422  0.387
Te  0.500  0.500  0.000
Te  0.836  0.113  0.672
Te  0.164  0.887  0.328
Pb  0.500  0.000  0.000

Summary:
DOS at the Fermi energy (states/eV per cell): 5.8
Calculated total energy (eV for the cell shown): -53.85
Symmetry: C2/m
V (Å³/cell): 461.20
Formation energy from raw total energies (eV per atom): -0.9441

---

Entry 3:
Entry from Alexandria: a relaxed PaTe6As2 crystal (PBE).

abc: 7.194 7.194 8.980
angles: 66.39 66.39 60.00
Positions (direct):
Pa  0.340  0.340  0.981
Te  0.751  0.394  0.742
Te  0.113  0.751  0.742
Te  0.394  0.113  0.742
Te  0.265  0.514  0.267
Te  0.954  0.265  0.267
Te  0.514  0.954  0.267
As  0.722  0.722  0.834
As  0.614  0.614  0.159

Summary:
DOS at the Fermi energy (states/eV per cell): 3.5
Calculated total energy (eV for the cell shown): -39.05
Symmetry: R3
V (Å³/cell): 356.88
Formation energy from raw total energies (eV per atom): -0.1557

---

Entry 4:
Entry from Alexandria: a relaxed Ba3SrTl2 crystal (PBE).

abc: 5.918 8.079 11.034
angles: 90.00 90.00 90.00
Positions (direct):
Ba  0.000  0.477  0.938
Ba  0.000  0.977  0.062
Ba  0.500  0.669  0.178
Ba  0.500  0.169  0.822
Ba  0.000  0.331  0.326
Ba  0.000  0.831  0.674
Sr  0.500  0.522  0.560
Sr  0.500  0.022  0.440
Tl  0.500  0.725  0.853
Tl  0.500  0.225  0.147
Tl  0.000  0.277  0.641
Tl  0.000  0.777  0.359

Summary:
DOS at the Fermi energy (states/eV per cell): 17.6
Calculated total energy (eV for the cell shown): -27.99
Formation energy from the elements (eV per atom): -0.302
Symmetry: Pmc2_1
V (Å³/cell): 527.55
Energy above the lowest structure with this stoichiometry (kJ/mol of atoms): 0.0

---

Entry 5:
Entry from Alexandria: a relaxed Ac2PuPdS5 crystal (PBE).

abc: 4.066 8.699 12.465
angles: 90.00 90.00 103.52
Positions (direct):
Ac  0.885  0.770  0.844
Ac  0.121  0.243  0.698
Ac  0.115  0.230  0.344
Ac  0.879  0.757  0.198
Pu  0.820  0.641  0.524
Pu  0.180  0.359  0.024
Pd  0.552  0.104  0.924
Pd  0.448  0.896  0.424
S  0.342  0.684  0.020
S  0.694  0.389  0.870
S  0.496  0.993  0.745
S  0.305  0.610  0.678
S  0.980  0.959  0.520
S  0.658  0.316  0.520
S  0.306  0.611  0.370
S  0.504  0.007  0.245
S  0.695  0.390  0.178
S  0.020  0.041  0.020

Summary:
DOS at the Fermi energy (states/eV per cell): 20.2
Calculated total energy (eV for the cell shown): -126.93
Symmetry: Cmc2_1
V (Å³/cell): 428.69
Formation energy from raw total energies (eV per atom): -1.6760

---

Entry 6:
Entry from Alexandria: a relaxed SnAsHOsBr crystal (PBE).

abc: 3.261 3.353 8.579
angles: 90.21 91.04 90.01
Positions (direct):
Sn  0.977  0.398  0.267
As  0.017  0.900  0.656
H  0.099  0.897  0.191
Os  0.517  0.399  0.523
Br  0.542  0.394  0.994

Summary:
DOS at the Fermi energy (states/eV per cell): 2.1
Calculated total energy (eV for the cell shown): -23.61
Symmetry: P1
V (Å³/cell): 93.78
Energy above the lowest structure with this stoichiometry (kJ/mol of atoms): 24.3

---

Entry 7:
Entry from Alexandria: a relaxed Pm3YPd crystal (PBE).

abc: 3.787 6.523 12.830
angles: 86.47 81.51 73.12
Positions (direct):
Pm  0.456  0.935  0.153
Pm  0.757  0.729  0.756
Pm  0.104  0.170  0.622
Pm  0.990  0.102  0.918
Pm  0.787  0.040  0.386
Pm  0.426  0.628  0.519
Y  0.109  0.501  0.281
Y  0.223  0.559  0.995
Pd  0.766  0.335  0.133
Pd  0.442  0.338  0.779

Summary:
DOS at the Fermi energy (states/eV per cell): 12.1
Calculated total energy (eV for the cell shown): -55.12
Formation energy from the elements (eV per atom): -0.330
Symmetry: Cm
V (Å³/cell): 299.88

---

Entry 8:
Entry from Alexandria: a relaxed CeHfReNi crystal (PBE).

abc: 4.719 4.719 4.719
angles: 60.00 60.00 60.00
Positions (direct):
Re  0.000  0.000  0.000
Hf  0.250  0.250  0.250
Ce  0.750  0.750  0.750
Ni  0.500  0.500  0.500

Summary:
DOS at the Fermi energy (states/eV per cell): 4.8
Calculated total energy (eV for the cell shown): -34.66
Formation energy from the elements (eV per atom): -0.135
Symmetry: F-43m
V (Å³/cell): 74.29